No. 1
DFT (PBE) results for crystalline TbSmEr at its relaxed geometry.

Unit cell a=3.5624 b=3.5624 c=15.1412 alpha=90.00 beta=90.00 gamma=90.00
Space group I4mm (No. 107)
One atom of each set of equivalent atoms:
Tb 0.0000 0.0000 0.0000 [2 per cell]
Sm 0.0000 0.0000 0.3312 [2 per cell]
Er 0.0000 0.0000 0.6644 [2 per cell]

Raw total energy in eV per atom: -4.617
Density in kg/m³: 8237
Calculated formation energy in eV/atom: 0.020
Offset from the most stable computed form in eV per atom: 0.002
Volume in Å³/atom: 32.0
N(E_F) in states/eV/atom: 1.340

***

No. 2
DFT (PBE) results for crystalline Tb4Sm8Er3 at its relaxed geometry.

Unit cell a=13.6834 b=12.1218 c=6.8524 alpha=90.00 beta=118.09 gamma=90.00
Space group C2/m (No. 12)
One atom of each set of equivalent atoms:
Tb 0.0000 0.0000 0.0000 [2 per cell]
Tb 0.0000 0.0000 0.5000 [2 per cell]
Tb 0.2500 0.2500 0.0000 [4 per cell]
Sm 0.0000 0.2479 0.5000 [4 per cell]
Sm 0.0000 0.2966 0.0000 [4 per cell]
Sm 0.2011 0.5000 0.1715 [4 per cell]
Sm 0.2455 0.0000 0.2903 [4 per cell]
Er 0.0000 0.5000 0.5000 [2 per cell]
Er 0.2500 0.2500 0.5000 [4 per cell]

Raw total energy in eV per atom: -4.314
Density in kg/m³: 7752
Calculated formation energy in eV/atom: 0.351
Volume in Å³/atom: 33.4
N(E_F) in states/eV/atom: 1.604

***

No. 3
DFT (PBE) results for crystalline Tb7Sm2Er2 at its relaxed geometry.

Unit cell a=8.9195 b=9.4463 c=8.7203 alpha=90.00 beta=101.78 gamma=90.00
Space group C2/m (No. 12)
One atom of each set of equivalent atoms:
Tb 0.0000 0.0000 0.0000 [2 per cell]
Tb 0.1079 0.5000 0.8565 [4 per cell]
Tb 0.2361 0.3185 0.2087 [8 per cell]
Sm 0.0000 0.3230 0.5000 [4 per cell]
Er 0.1482 0.0000 0.4055 [4 per cell]

Raw total energy in eV per atom: -4.519
Density in kg/m³: 8070
Calculated formation energy in eV/atom: 0.115
Offset from the most stable computed form in eV per atom: 0.000
Volume in Å³/atom: 32.7
N(E_F) in states/eV/atom: 1.602

***

No. 4
DFT (PBE) results for crystalline Tb7Sm2Er at its relaxed geometry.

Unit cell a=6.5166 b=28.8281 c=3.5066 alpha=90.00 beta=90.00 gamma=90.00
Space group Cmmm (No. 65)
One atom of each set of equivalent atoms:
Tb 0.0000 0.0000 0.0000 [2 per cell]
Tb 0.0000 0.3140 0.5000 [4 per cell]
Tb 0.2458 0.4020 0.0000 [8 per cell]
Sm 0.0000 0.2072 0.0000 [4 per cell]
Er 0.0000 0.5000 0.5000 [2 per cell]

Raw total energy in eV per atom: -4.483
Density in kg/m³: 7968
Calculated formation energy in eV/atom: 0.158
Offset from the most stable computed form in eV per atom: 0.108
Volume in Å³/atom: 32.9
N(E_F) in states/eV/atom: 1.574

***

No. 5
DFT (PBE) results for crystalline TbSm3Er7 at its relaxed geometry.

Unit cell a=5.7879 b=11.1083 c=11.1472 alpha=90.00 beta=90.00 gamma=90.00
Space group Immm (No. 71)
One atom of each set of equivalent atoms:
Tb 0.0000 0.0000 0.0000 [2 per cell]
Sm 0.0000 0.0000 0.5000 [2 per cell]
Sm 0.0000 0.5000 0.2115 [4 per cell]
Er 0.0000 0.2079 0.3048 [8 per cell]
Er 0.0000 0.2944 0.0000 [4 per cell]
Er 0.0000 0.5000 0.5000 [2 per cell]

Raw total energy in eV per atom: -4.336
Density in kg/m³: 8252
Calculated formation energy in eV/atom: 0.275
Offset from the most stable computed form in eV per atom: 0.122
Volume in Å³/atom: 32.6
N(E_F) in states/eV/atom: 1.395

***

No. 6
DFT (PBE) results for crystalline TbSm7Er12 at its relaxed geometry.

Unit cell a=11.9024 b=11.9024 c=16.1231 alpha=90.00 beta=90.00 gamma=120.00
Space group R-3 (No. 148, hexagonal axes)
One atom of each set of equivalent atoms:
Tb 0.0000 0.0000 0.0000 [3 per cell]
Sm 0.0000 0.0000 0.5000 [3 per cell]
Sm 0.0538 0.8646 0.7910 [18 per cell]
Er 0.0222 0.5737 0.7206 [18 per cell]
Er 0.0503 0.4640 0.0833 [18 per cell]

Raw total energy in eV per atom: -4.385
Density in kg/m³: 8106
Calculated formation energy in eV/atom: 0.236
Offset from the most stable computed form in eV per atom: 0.000
Volume in Å³/atom: 33.0
N(E_F) in states/eV/atom: 1.789

***

No. 7
DFT (PBE) results for crystalline Tb6Sm2Er at its relaxed geometry.

Unit cell a=10.6906 b=17.7005 c=6.1360 alpha=90.00 beta=93.37 gamma=90.00
Space group C2/c (No. 15)
One atom of each set of equivalent atoms:
Tb 0.0812 0.0843 0.0000 [8 per cell]
Tb 0.0810 0.4141 0.0014 [8 per cell]
Tb 0.1674 0.2493 0.7475 [8 per cell]
Sm 0.2502 0.0811 0.4986 [8 per cell]
Er 0.0000 0.2485 0.2500 [4 per cell]

Raw total energy in eV per atom: -4.531
Density in kg/m³: 8146
Calculated formation energy in eV/atom: 0.111
Volume in Å³/atom: 32.2
N(E_F) in states/eV/atom: 1.686

***

No. 8
DFT (PBE) results for crystalline Tb5SmEr2 at its relaxed geometry.

Unit cell a=7.1135 b=14.2277 c=5.0183 alpha=90.00 beta=90.00 gamma=90.00
Space group Pbam (No. 55)
One atom of each set of equivalent atoms:
Tb 0.0000 0.0000 0.0000 [2 per cell]
Tb 0.0009 0.2495 0.0000 [4 per cell]
Tb 0.2490 0.8746 0.5000 [4 per cell]
Sm 0.0000 0.5000 0.0000 [2 per cell]
Er 0.2505 0.1254 0.5000 [4 per cell]

Raw total energy in eV per atom: -4.609
Density in kg/m³: 8366
Calculated formation energy in eV/atom: 0.016
Volume in Å³/atom: 31.7
N(E_F) in states/eV/atom: 1.259

***

No. 9
DFT (PBE) results for crystalline Tb12SmEr5 at its relaxed geometry.

Unit cell a=11.9237 b=16.8185 c=5.6769 alpha=90.00 beta=90.00 gamma=90.00
Space group C2/m (No. 12)
One atom of each set of equivalent atoms:
Tb 0.1506 0.1801 0.0007 [8 per cell]
Tb 0.1509 0.3204 0.4993 [8 per cell]
Tb 0.1982 0.5000 0.0080 [4 per cell]
Tb 0.2019 0.0000 0.4918 [4 per cell]
Sm 0.0000 0.0000 0.0000 [2 per cell]
Er 0.0000 0.1378 0.5000 [4 per cell]
Er 0.0000 0.3632 0.0000 [4 per cell]
Er 0.0000 0.5000 0.5000 [2 per cell]

Raw total energy in eV per atom: -4.524
Density in kg/m³: 8442
Calculated formation energy in eV/atom: 0.093
Volume in Å³/atom: 31.6
N(E_F) in states/eV/atom: 1.509

***

No. 10
DFT (PBE) results for crystalline Tb4Sm3Er2 at its relaxed geometry.

Unit cell a=16.4579 b=11.5917 c=6.0996 alpha=90.00 beta=96.47 gamma=90.00
Space group C2/c (No. 15)
One atom of each set of equivalent atoms:
Tb 0.0471 0.1389 0.0143 [8 per cell]
Tb 0.2124 0.3604 0.8476 [8 per cell]
Sm 0.0000 0.4011 0.7500 [4 per cell]
Sm 0.1675 0.0989 0.5785 [8 per cell]
Er 0.1186 0.3618 0.3166 [8 per cell]

Raw total energy in eV per atom: -4.546
Density in kg/m³: 8165
Calculated formation energy in eV/atom: 0.099
Offset from the most stable computed form in eV per atom: 0.083
Volume in Å³/atom: 32.1
N(E_F) in states/eV/atom: 1.424

***

No. 11
DFT (PBE) results for crystalline TbSm2Er9 at its relaxed geometry.

Unit cell a=11.1618 b=11.1618 c=3.4843 alpha=90.00 beta=90.00 gamma=120.00
Space group P6/mmm (No. 191)
One atom of each set of equivalent atoms:
Tb 0.0000 0.0000 0.0000 [1 per cell]
Sm 0.3333 0.6667 0.0000 [2 per cell]
Er 0.0000 0.5000 0.0000 [3 per cell]
Er 0.1754 0.3508 0.5000 [6 per cell]

Raw total energy in eV per atom: -4.531
Density in kg/m³: 8679
Calculated formation energy in eV/atom: 0.063
Offset from the most stable computed form in eV per atom: 0.040
Volume in Å³/atom: 31.3
N(E_F) in states/eV/atom: 1.614

***

No. 12
DFT (PBE) results for crystalline Tb9Sm11Er4 at its relaxed geometry.

Unit cell a=16.9078 b=25.6253 c=3.6452 alpha=90.00 beta=90.00 gamma=90.00
Space group Cmmm (No. 65)
One atom of each set of equivalent atoms:
Tb 0.0000 0.0000 0.0000 [2 per cell]
Tb 0.1023 0.2324 0.0000 [8 per cell]
Tb 0.1410 0.4269 0.0000 [8 per cell]
Sm 0.0000 0.1314 0.5000 [4 per cell]
Sm 0.0000 0.3393 0.5000 [4 per cell]
Sm 0.0000 0.5000 0.5000 [2 per cell]
Sm 0.2076 0.0000 0.5000 [4 per cell]
Sm 0.2243 0.3189 0.5000 [8 per cell]
Er 0.1570 0.1017 0.0000 [8 per cell]

Raw total energy in eV per atom: -4.606
Density in kg/m³: 7893
Calculated formation energy in eV/atom: 0.054
Volume in Å³/atom: 32.9
N(E_F) in states/eV/atom: 1.287

***

No. 13
DFT (PBE) results for crystalline Tb5SmEr4 at its relaxed geometry.

Unit cell a=10.1486 b=10.1486 c=6.2924 alpha=90.00 beta=90.00 gamma=90.00
Space group I4 (No. 79)
One atom of each set of equivalent atoms:
Tb 0.0000 0.0000 0.0000 [2 per cell]
Tb 0.1453 0.2336 0.7279 [8 per cell]
Sm 0.0000 0.0000 0.4558 [2 per cell]
Er 0.0494 0.3480 0.2263 [8 per cell]

Raw total energy in eV per atom: -4.308
Density in kg/m³: 8271
Calculated formation energy in eV/atom: 0.304
Volume in Å³/atom: 32.4
N(E_F) in states/eV/atom: 1.463

***

No. 14
DFT (PBE) results for crystalline TbSmEr2 at its relaxed geometry.

Unit cell a=3.6272 b=11.3103 c=6.2635 alpha=90.00 beta=90.00 gamma=90.00
Space group Imm2 (No. 44)
One atom of each set of equivalent atoms:
Tb 0.0000 0.0000 0.0000 [2 per cell]
Sm 0.0000 0.5000 0.9984 [2 per cell]
Er 0.0000 0.2507 0.3319 [4 per cell]

Raw total energy in eV per atom: -4.567
Density in kg/m³: 8321
Calculated formation energy in eV/atom: 0.052
Offset from the most stable computed form in eV per atom: 0.037
Volume in Å³/atom: 32.1
N(E_F) in states/eV/atom: 1.762

***

No. 15
DFT (PBE) results for crystalline Tb12Sm7Er at its relaxed geometry.

Unit cell a=11.3225 b=11.3225 c=11.3225 alpha=90.00 beta=90.00 gamma=90.00
Space group Im-3m (No. 229)
One atom of each set of equivalent atoms:
Tb 0.0000 0.2470 0.2470 [24 per cell]
Sm 0.0000 0.0000 0.5000 [6 per cell]
Sm 0.2500 0.2500 0.2500 [8 per cell]
Er 0.0000 0.0000 0.0000 [2 per cell]

Raw total energy in eV per atom: -4.004
Density in kg/m³: 7154
Calculated formation energy in eV/atom: 0.654
Volume in Å³/atom: 36.3
N(E_F) in states/eV/atom: 1.244

***

No. 16
DFT (PBE) results for crystalline Tb4Sm3Er at its relaxed geometry.

Unit cell a=23.4793 b=3.4860 c=6.7470 alpha=90.00 beta=106.67 gamma=90.00
Space group C2/m (No. 12)
One atom of each set of equivalent atoms:
Tb 0.1242 0.0000 0.3829 [4 per cell]
Tb 0.2404 0.5000 0.7360 [4 per cell]
Sm 0.0000 0.0000 0.0000 [2 per cell]
Sm 0.1252 0.0000 0.8681 [4 per cell]
Er 0.0000 0.5000 0.5000 [2 per cell]

Raw total energy in eV per atom: -4.494
Density in kg/m³: 7873
Calculated formation energy in eV/atom: 0.161
Offset from the most stable computed form in eV per atom: 0.142
Volume in Å³/atom: 33.1
N(E_F) in states/eV/atom: 1.795

***

No. 17
DFT (PBE) results for crystalline TbSmEr2 at its relaxed geometry.

Unit cell a=8.0057 b=8.0057 c=8.0057 alpha=90.00 beta=90.00 gamma=90.00
Space group Fm-3m (No. 225)
One atom of each set of equivalent atoms:
Tb 0.0000 0.0000 0.0000 [4 per cell]
Sm 0.0000 0.0000 0.5000 [4 per cell]
Er 0.2500 0.2500 0.2500 [8 per cell]

Raw total energy in eV per atom: -4.491
Density in kg/m³: 8334
Calculated formation energy in eV/atom: 0.128
Offset from the most stable computed form in eV per atom: 0.112
Volume in Å³/atom: 32.1
N(E_F) in states/eV/atom: 2.077

***

No. 18
DFT (PBE) results for crystalline Tb2Sm3Er2 at its relaxed geometry.

Unit cell a=3.5741 b=6.1846 c=10.7168 alpha=95.62 beta=90.06 gamma=106.68
Space group P-1 (No. 2)
One atom of each set of equivalent atoms:
Tb 0.2148 0.4303 0.3577 [2 per cell]
Sm 0.3574 0.7154 0.9287 [2 per cell]
Sm 0.5000 0.0000 0.5000 [1 per cell]
Er 0.0719 0.1437 0.7851 [2 per cell]

Raw total energy in eV per atom: -4.632
Density in kg/m³: 8117
Calculated formation energy in eV/atom: 0.017
Offset from the most stable computed form in eV per atom: 0.000
Volume in Å³/atom: 32.2
N(E_F) in states/eV/atom: 1.282

***

No. 19
DFT (PBE) results for crystalline Tb2Sm8Er at its relaxed geometry.

Unit cell a=10.3005 b=13.4604 c=5.4609 alpha=90.00 beta=90.00 gamma=90.00
Space group Cmmm (No. 65)
One atom of each set of equivalent atoms:
Tb 0.0000 0.1195 0.0000 [4 per cell]
Sm 0.0000 0.2477 0.5000 [4 per cell]
Sm 0.1643 0.3659 0.0000 [8 per cell]
Sm 0.1658 0.0000 0.5000 [4 per cell]
Er 0.0000 0.5000 0.5000 [2 per cell]

Raw total energy in eV per atom: -4.520
Density in kg/m³: 7404
Calculated formation energy in eV/atom: 0.169
Volume in Å³/atom: 34.4
N(E_F) in states/eV/atom: 1.577

***

No. 20
DFT (PBE) results for crystalline Tb4SmEr4 at its relaxed geometry.

Unit cell a=12.3268 b=14.5818 c=6.4836 alpha=90.00 beta=90.00 gamma=90.00
Space group Cmcm (No. 63)
One atom of each set of equivalent atoms:
Tb 0.1407 0.0000 0.0000 [8 per cell]
Tb 0.2412 0.3021 0.2500 [8 per cell]
Sm 0.0000 0.3976 0.2500 [4 per cell]
Er 0.0000 0.2048 0.5038 [8 per cell]
Er 0.1371 0.4048 0.7500 [8 per cell]

Raw total energy in eV per atom: -4.402
Density in kg/m³: 8293
Calculated formation energy in eV/atom: 0.208
Offset from the most stable computed form in eV per atom: 0.189
Volume in Å³/atom: 32.4
N(E_F) in states/eV/atom: 1.836